No. 1
Below is a relaxed structure of LiTePd2Pt, with properties calculated at the PBE level.

abc: 4.9872 4.9872 4.9801
angles: 90.00 90.00 90.00
With the nearest neighbours (Å) after each atom.
Space group P4/mmm (No. 123)
Inequivalent atoms, fractional coordinates:
Li: 0.0000 0.0000 0.0000  8 Pd 3.52, 4 Pt 3.53
Te: 0.5000 0.5000 0.5000  2 Pt 2.49, 4 Pd 2.49
Pd: 0.0000 0.5000 0.5000  2 Te 2.49
Pt: 0.5000 0.5000 0.0000  2 Te 2.49

Its total moment is 0.000 μB/cell. The calculation puts the excess energy over the best structure of this formula in the dataset at 0.0 kJ/mol of atoms. Its uncorrected formation energy is 164 meV per atom.

=====

No. 2
Below is a relaxed structure of LiTePdPt, with properties calculated at the PBE level.

abc: 6.4570 6.4570 6.4570
angles: 90.00 90.00 90.00
With the nearest neighbours (Å) after each atom.
Space group F-43m (No. 216)
Inequivalent atoms, fractional coordinates:
Li: 0.0000 0.0000 0.0000  4 Pd 2.80, 4 Pt 2.80
Te: 0.0000 0.0000 0.5000  4 Pt 2.80, 4 Pd 2.80
Pd: 0.2500 0.2500 0.7500  4 Li 2.80, 4 Te 2.80
Pt: 0.2500 0.2500 0.2500  4 Li 2.80, 4 Te 2.80

Its total moment is 0.000 μB/cell. Its uncorrected formation energy is -427 meV per atom.

=====

No. 3
Below is a relaxed structure of LiThPdPt, with properties calculated at the PBE level.

abc: 6.8576 6.8576 6.8576
angles: 90.00 90.00 90.00
With the nearest neighbours (Å) after each atom.
Space group F-43m (No. 216)
Inequivalent atoms, fractional coordinates:
Li: 0.0000 0.0000 0.0000  4 Pd 2.97, 4 Pt 2.97
Th: 0.0000 0.0000 0.5000  4 Pt 2.97, 4 Pd 2.97
Pd: 0.2500 0.2500 0.7500  4 Th 2.97, 4 Li 2.97
Pt: 0.2500 0.2500 0.2500  4 Li 2.97, 4 Th 2.97

Its total moment is 0.000 μB/cell. The calculation puts the excess energy over the best structure of this formula in the dataset at 7.9 kJ/mol of atoms. The formation enthalpy at 0 K comes out at -0.77 eV/atom.

=====

No. 4
Below is a relaxed structure of LiThPdPt, with properties calculated at the PBE level.

abc: 7.5288 4.3463 5.4384
angles: 90.00 117.59 90.00
With the nearest neighbours (Å) after each atom.
Space group Cm (No. 8)
Inequivalent atoms, fractional coordinates:
Li: 0.0000 0.0000 0.0000  3 Pt 2.61, 3 Pd 2.62-2.63
Th: 0.4963 0.0000 0.4892  4 Pt 2.99-3.20, 4 Pd 3.02-3.13
Pd: 0.2798 0.0000 0.8401  3 Li 2.62-2.63, 3 Pt 2.93
Pt: 0.2177 0.5000 0.1525  3 Li 2.61, 3 Pd 2.93

Its total moment is 0.000 μB/cell. The calculation puts the excess energy over the best structure of this formula in the dataset at 0.0 kJ/mol of atoms. The formation enthalpy at 0 K comes out at -0.85 eV/atom.